No. 1
A relaxed NaZnTcOs crystal. Source: OQMD via LeMat-Bulk, functional PBE.

## Properties
- E above lowest polymorph (eV/atom) = 0.0554
- volume (Å³/cell) = 59.6

The structure in extended XYZ format:
```
4
Lattice="0.000 3.101 3.101 3.101 0.000 3.101 3.101 3.101 0.000" Properties=species:S:1:pos:R:3 pbc="T T T"
Na 0.000 0.000 0.000
Zn 4.651 4.651 4.651
Tc 3.101 3.101 3.101
Os 1.550 1.550 1.550
```



No. 2
A relaxed NaZnTcOs crystal. Source: OQMD via LeMat-Bulk, functional PBE.

## Properties
- E above lowest polymorph (eV/atom) = 0.0000
- volume (Å³/cell) = 59.2

The structure in extended XYZ format:
```
4
Lattice="0.000 3.093 3.093 3.093 0.000 3.093 3.093 3.093 0.000" Properties=species:S:1:pos:R:3 pbc="T T T"
Na 0.000 0.000 0.000
Zn 4.639 4.639 4.639
Tc 1.546 1.546 1.546
Os 3.093 3.093 3.093
```



No. 3
A relaxed NaTe5Os3 crystal. Source: OQMD via LeMat-Bulk, functional PBE.

## Properties
- E_tot (eV per atom) = -5.40
- volume (Å³/cell) = 244.2

The structure in extended XYZ format:
```
9
Lattice="5.989 0.000 0.000 -2.995 5.187 0.000 0.000 0.000 7.860" Properties=species:S:1:pos:R:3 pbc="T T T"
Na 0.000 0.000 0.000
Te 0.000 0.000 3.930
Te 0.000 3.458 1.921
Te 0.000 3.458 5.939
Te 2.995 1.729 1.921
Te 2.995 1.729 5.939
Os -1.497 2.593 3.930
Os 2.995 0.000 3.930
Os 1.497 2.593 3.930
```



No. 4
A relaxed NaYTeOs crystal. Source: OQMD via LeMat-Bulk, functional PBE.

## Properties
- E above lowest polymorph (eV/atom) = 0.0000
- volume (Å³/cell) = 79.5

The structure in extended XYZ format:
```
4
Lattice="0.000 3.413 3.413 3.413 0.000 3.413 3.413 3.413 0.000" Properties=species:S:1:pos:R:3 pbc="T T T"
Na 0.000 0.000 0.000
Y 5.119 5.119 5.119
Te 1.706 1.706 1.706
Os 3.413 3.413 3.413
```



No. 5
A relaxed NaYTeOs crystal. Source: OQMD via LeMat-Bulk, functional PBE.

## Properties
- E above lowest polymorph (eV/atom) = 0.1988
- volume (Å³/cell) = 87.9

The structure in extended XYZ format:
```
4
Lattice="0.000 3.530 3.530 3.530 0.000 3.530 3.530 3.530 0.000" Properties=species:S:1:pos:R:3 pbc="T T T"
Na 0.000 0.000 0.000
Y 3.530 3.530 3.530
Te 1.765 1.765 1.765
Os 5.294 5.294 5.294
```



No. 6
A relaxed Na4TlOs3 crystal. Source: OQMD via LeMat-Bulk, functional PBE.

## Properties
- E_tot (eV per atom) = -3.82
- volume (Å³/cell) = 167.2

The structure in extended XYZ format:
```
8
Lattice="-4.043 4.043 2.557 4.043 -4.043 2.557 4.043 4.043 -2.557" Properties=species:S:1:pos:R:3 pbc="T T T"
Na 2.051 2.051 -0.708
Na 1.992 -1.992 3.265
Na 1.992 1.992 1.849
Na -1.992 1.992 3.265
Tl 0.000 0.000 0.000
Os 4.043 0.000 1.279
Os 0.000 0.000 2.557
Os 0.000 4.043 1.279
```



Among the records above, which one has the highest volume? NaTe5Os3



volume of number 6 (Na4TlOs3)? 167.2 Å³/cell



What is the volume in the fourth record? 79.5 Å³/cell